# Rb2NbAgCl6, relaxed, DFT PBE
# Spin magnetization in μB/f.u.: 2.00
# DFT total energy in eV per cell: -156.86
data_Rb2NbAgCl6
_chemical_formula_sum 'Rb8 Nb4 Ag4 Cl24'
_symmetry_space_group_name_H-M 'F m -3 m'
_symmetry_Int_Tables_number 225
_symmetry_space_group_name_Hall '-F 4 2 3'
_cell_length_a 10.3799
_cell_length_b 10.3799
_cell_length_c 10.3799
_cell_angle_alpha 90.00
_cell_angle_beta 90.00
_cell_angle_gamma 90.00
loop_
_atom_site_label
_atom_site_type_symbol
_atom_site_fract_x
_atom_site_fract_y
_atom_site_fract_z
Rb1 Rb 0.2500 0.2500 0.2500
Nb1 Nb 0.0000 0.0000 0.0000
Ag1 Ag 0.0000 0.0000 0.5000
Cl1 Cl 0.0000 0.0000 0.2403


# NiAg2Cl4, relaxed, DFT PBE
# Spin magnetization in μB/f.u.: 0.00
# DFT total energy in eV per cell: -87.23
data_NiAg2Cl4
_chemical_formula_sum 'Ni4 Ag8 Cl16'
_symmetry_space_group_name_H-M 'C m c e'
_symmetry_Int_Tables_number 64
_symmetry_space_group_name_Hall '-C 2ac 2'
_cell_length_a 9.9800
_cell_length_b 8.1280
_cell_length_c 8.0590
_cell_angle_alpha 90.00
_cell_angle_beta 90.00
_cell_angle_gamma 90.00
loop_
_atom_site_label
_atom_site_type_symbol
_atom_site_fract_x
_atom_site_fract_y
_atom_site_fract_z
Ni1 Ni 0.0000 0.0000 0.0000
Ag1 Ag 0.2500 0.2246 0.2500
Cl1 Cl 0.0000 0.1840 0.7992
Cl2 Cl 0.2195 0.0000 0.0000


# Tl2NiAgCl6, relaxed, DFT PBE
# Spin magnetization in μB/f.u.: 0.99
# DFT total energy in eV per cell: -62.51
data_Tl2NiAgCl6
_chemical_formula_sum 'Tl4 Ni2 Ag2 Cl12'
_symmetry_space_group_name_H-M 'C 1 2/m 1'
_symmetry_Int_Tables_number 12
_cell_length_a 12.0545
_cell_length_b 6.9751
_cell_length_c 7.1056
_cell_angle_alpha 90.00
_cell_angle_beta 125.42
_cell_angle_gamma 90.00
loop_
_symmetry_equiv_pos_as_xyz
'x,y,z'
'-x,-y,-z'
'-x,y,-z'
'x,-y,z'
'x+1/2,y+1/2,z'
'-x+1/2,-y+1/2,-z'
'-x+1/2,y+1/2,-z'
'x+1/2,-y+1/2,z'
loop_
_atom_site_label
_atom_site_type_symbol
_atom_site_fract_x
_atom_site_fract_y
_atom_site_fract_z
Tl1 Tl 0.2479 0.0000 0.2473
Ni1 Ni 0.0000 0.5000 0.0000
Ag1 Ag 0.0000 0.0000 0.5000
Cl1 Cl 0.0218 0.2656 0.7927
Cl2 Cl 0.2415 0.5000 0.2833


# Tl2NiAgCl6, relaxed, DFT PBE
# Spin magnetization in μB/f.u.: 0.96
# DFT total energy in eV per cell: -93.76
data_Tl2NiAgCl6
_chemical_formula_sum 'Tl6 Ni3 Ag3 Cl18'
_symmetry_space_group_name_H-M 'R -3'
_symmetry_Int_Tables_number 148
_symmetry_space_group_name_Hall '-R 3'
_cell_length_a 6.9995
_cell_length_b 6.9995
_cell_length_c 17.1263
_cell_angle_alpha 90.00
_cell_angle_beta 90.00
_cell_angle_gamma 120.00
loop_
_atom_site_label
_atom_site_type_symbol
_atom_site_fract_x
_atom_site_fract_y
_atom_site_fract_z
Tl1 Tl 0.0000 0.0000 0.2494
Ni1 Ni 0.0000 0.0000 0.0000
Ag1 Ag 0.0000 0.0000 0.5000
Cl1 Cl 0.0185 0.5278 0.7452


# Rb2NpAgCl6, relaxed, DFT PBE
# Spin magnetization in μB/f.u.: 4.00
# DFT total energy in eV per cell: -89.15
data_Rb2NpAgCl6
_chemical_formula_sum 'Rb4 Np2 Ag2 Cl12'
_symmetry_space_group_name_H-M 'I 4/m'
_symmetry_Int_Tables_number 87
_symmetry_space_group_name_Hall '-I 4'
_cell_length_a 7.4757
_cell_length_b 7.4757
_cell_length_c 11.0608
_cell_angle_alpha 90.00
_cell_angle_beta 90.00
_cell_angle_gamma 90.00
loop_
_atom_site_label
_atom_site_type_symbol
_atom_site_fract_x
_atom_site_fract_y
_atom_site_fract_z
Rb1 Rb 0.0000 0.5000 0.2500
Np1 Np 0.0000 0.0000 0.0000
Ag1 Ag 0.0000 0.0000 0.5000
Cl1 Cl 0.0000 0.0000 0.2459
Cl2 Cl 0.1861 0.6879 0.0000


# Ag6PClO5, relaxed, DFT PBE
# DFT total energy in eV per cell: -229.51
data_Ag6PClO5
_chemical_formula_sum 'Ag24 P4 Cl4 O20'
_symmetry_space_group_name_H-M 'F -4 3 m'
_symmetry_Int_Tables_number 216
_symmetry_space_group_name_Hall 'F -4 2 3'
_cell_length_a 9.4845
_cell_length_b 9.4845
_cell_length_c 9.4845
_cell_angle_alpha 90.00
_cell_angle_beta 90.00
_cell_angle_gamma 90.00
loop_
_atom_site_label
_atom_site_type_symbol
_atom_site_fract_x
_atom_site_fract_y
_atom_site_fract_z
Ag1 Ag 0.0000 0.0000 0.2421
P1 P 0.2500 0.2500 0.7500
Cl1 Cl 0.2500 0.2500 0.2500
O1 O 0.0000 0.0000 0.0000
O2 O 0.1554 0.1554 0.6554


# AgPb4ClO4, relaxed, DFT PBE
# DFT total energy in eV per cell: -98.40
data_AgPb4ClO4
_chemical_formula_sum 'Ag2 Pb8 Cl2 O8'
_symmetry_space_group_name_H-M 'P 4/n'
_symmetry_Int_Tables_number 85
_cell_length_a 8.2363
_cell_length_b 8.2363
_cell_length_c 6.2440
_cell_angle_alpha 90.00
_cell_angle_beta 90.00
_cell_angle_gamma 90.00
loop_
_symmetry_equiv_pos_as_xyz
'x,y,z'
'-x,-y,-z'
'-y+1/2,x,z'
'y+1/2,-x,-z'
'-x+1/2,-y+1/2,z'
'x+1/2,y+1/2,-z'
'y,-x+1/2,z'
'-y,x+1/2,-z'
loop_
_atom_site_label
_atom_site_type_symbol
_atom_site_fract_x
_atom_site_fract_y
_atom_site_fract_z
Ag1 Ag 0.2500 0.2500 0.0890
Pb1 Pb 0.0629 0.8969 0.2379
Cl1 Cl 0.2500 0.2500 0.4935
O1 O 0.0089 0.6584 0.0829


# Sr2AgCl2O2, relaxed, DFT PBE
# DFT total energy in eV per cell: -66.17
data_Sr2AgCl2O2
_chemical_formula_sum 'Sr4 Ag2 Cl4 O4'
_symmetry_space_group_name_H-M 'I 4/m m m'
_symmetry_Int_Tables_number 139
_symmetry_space_group_name_Hall '-I 4 2'
_cell_length_a 4.2108
_cell_length_b 4.2108
_cell_length_c 15.3813
_cell_angle_alpha 90.00
_cell_angle_beta 90.00
_cell_angle_gamma 90.00
loop_
_atom_site_label
_atom_site_type_symbol
_atom_site_fract_x
_atom_site_fract_y
_atom_site_fract_z
Sr1 Sr 0.0000 0.0000 0.1106
Ag1 Ag 0.0000 0.0000 0.5000
Cl1 Cl 0.0000 0.0000 0.3110
O1 O 0.0000 0.5000 0.0000


# Ag5OsSe4Cl2, relaxed, DFT PBE
# Spin magnetization in μB/f.u.: 0.01
# DFT total energy in eV per cell: -88.70
data_Ag5OsSe4Cl2
_chemical_formula_sum 'Ag10 Os2 Se8 Cl4'
_symmetry_space_group_name_H-M 'A m m 2'
_symmetry_Int_Tables_number 38
_cell_length_a 7.8010
_cell_length_b 11.9128
_cell_length_c 6.3530
_cell_angle_alpha 90.00
_cell_angle_beta 90.00
_cell_angle_gamma 90.00
loop_
_symmetry_equiv_pos_as_xyz
'x,y,z'
'-x,-y,z'
'-x,y,z'
'x,-y,z'
'x,y+1/2,z+1/2'
'-x,-y+1/2,z+1/2'
'-x,y+1/2,z+1/2'
'x,-y+1/2,z+1/2'
loop_
_atom_site_label
_atom_site_type_symbol
_atom_site_fract_x
_atom_site_fract_y
_atom_site_fract_z
Ag1 Ag 0.0000 0.0000 0.0000
Ag2 Ag 0.2736 0.1902 0.4914
Os1 Os 0.5000 0.0000 0.0630
Se1 Se 0.2524 0.0000 0.2748
Se2 Se 0.5000 0.1600 0.8466
Cl1 Cl 0.0000 0.1708 0.7351


# Tl2AgOsCl6, relaxed, DFT PBE
# Spin magnetization in μB/f.u.: 1.00
# DFT total energy in eV per cell: -142.21
data_Tl2AgOsCl6
_chemical_formula_sum 'Tl8 Ag4 Os4 Cl24'
_symmetry_space_group_name_H-M 'F m -3 m'
_symmetry_Int_Tables_number 225
_symmetry_space_group_name_Hall '-F 4 2 3'
_cell_length_a 10.0878
_cell_length_b 10.0878
_cell_length_c 10.0878
_cell_angle_alpha 90.00
_cell_angle_beta 90.00
_cell_angle_gamma 90.00
loop_
_atom_site_label
_atom_site_type_symbol
_atom_site_fract_x
_atom_site_fract_y
_atom_site_fract_z
Tl1 Tl 0.2500 0.2500 0.2500
Ag1 Ag 0.0000 0.0000 0.0000
Os1 Os 0.0000 0.0000 0.5000
Cl1 Cl 0.0000 0.0000 0.2650


# AgPCl6, relaxed, DFT PBE
# DFT total energy in eV per cell: -89.47
data_AgPCl6
_chemical_formula_sum 'Ag4 P4 Cl24'
_symmetry_space_group_name_H-M 'F -4 3 m'
_symmetry_Int_Tables_number 216
_symmetry_space_group_name_Hall 'F -4 2 3'
_cell_length_a 9.3035
_cell_length_b 9.3035
_cell_length_c 9.3035
_cell_angle_alpha 90.00
_cell_angle_beta 90.00
_cell_angle_gamma 90.00
loop_
_atom_site_label
_atom_site_type_symbol
_atom_site_fract_x
_atom_site_fract_y
_atom_site_fract_z
Ag1 Ag 0.0000 0.0000 0.0000
P1 P 0.2500 0.2500 0.2500
Cl1 Cl 0.0180 0.2500 0.2500


# AgP6Cl, relaxed, DFT PBE
# DFT total energy in eV per cell: -131.51
data_AgP6Cl
_chemical_formula_sum 'Ag4 P24 Cl4'
_symmetry_space_group_name_H-M 'F -4 3 m'
_symmetry_Int_Tables_number 216
_symmetry_space_group_name_Hall 'F -4 2 3'
_cell_length_a 8.7706
_cell_length_b 8.7706
_cell_length_c 8.7706
_cell_angle_alpha 90.00
_cell_angle_beta 90.00
_cell_angle_gamma 90.00
loop_
_atom_site_label
_atom_site_type_symbol
_atom_site_fract_x
_atom_site_fract_y
_atom_site_fract_z
Ag1 Ag 0.0000 0.0000 0.0000
P1 P 0.0000 0.0000 0.3093
Cl1 Cl 0.2500 0.2500 0.2500


Repeat the seventh record exactly.
# AgPb4ClO4, relaxed, DFT PBE
# DFT total energy in eV per cell: -98.40
data_AgPb4ClO4
_chemical_formula_sum 'Ag2 Pb8 Cl2 O8'
_symmetry_space_group_name_H-M 'P 4/n'
_symmetry_Int_Tables_number 85
_cell_length_a 8.2363
_cell_length_b 8.2363
_cell_length_c 6.2440
_cell_angle_alpha 90.00
_cell_angle_beta 90.00
_cell_angle_gamma 90.00
loop_
_symmetry_equiv_pos_as_xyz
'x,y,z'
'-x,-y,-z'
'-y+1/2,x,z'
'y+1/2,-x,-z'
'-x+1/2,-y+1/2,z'
'x+1/2,y+1/2,-z'
'y,-x+1/2,z'
'-y,x+1/2,-z'
loop_
_atom_site_label
_atom_site_type_symbol
_atom_site_fract_x
_atom_site_fract_y
_atom_site_fract_z
Ag1 Ag 0.2500 0.2500 0.0890
Pb1 Pb 0.0629 0.8969 0.2379
Cl1 Cl 0.2500 0.2500 0.4935
O1 O 0.0089 0.6584 0.0829


Question: DFT total energy of number 8 (Sr2AgCl2O2)?
Answer: -66.17 eV per cell


Question: Which value of DFT total energy does entry 9 give?
Answer: -88.70 eV per cell